Below is a relaxed structure of SrUMoO6, with properties calculated at the PBE+U level.

Output
V	15.9	A^3/atom
total energy	-8.182	eV per atom

Cell and atoms, written as CIF:
```
data_SrUMoO6
_cell_length_a 5.5912
_cell_length_b 5.5912
_cell_length_c 10.5760
_cell_angle_alpha 90.00
_cell_angle_beta 90.00
_cell_angle_gamma 120.00
_space_group_name_H-M_alt 'P -3 1 c'
_space_group_IT_number 163
_space_group_name_Hall '-P 3 2c'
loop_
_atom_site_label
_atom_site_fract_x
_atom_site_fract_y
_atom_site_fract_z
Sr1 0.0000 0.0000 0.0000
U1 0.3333 0.6667 0.2500
Mo1 0.3333 0.6667 0.7500
O1 0.0035 0.3685 0.6469
```